VASP calculation (GGA-PBE) on Na2V2CoS6 after structural relaxation.

The final energy comes out at -5.617 eV/atom. Its calculated volume is 201.46 Å³ per cell. As for the density of states at the Fermi level: 6.98 states/eV/f.u. The space group is C2/m (12).

a = 5.839 Å, b = 5.839 Å, c = 7.089 Å
α = 96.90°, β = 96.90°, γ = 120.77°
Positions (direct):
Na1 0.178 0.822 0.000
Na2 0.822 0.178 0.000
V1 0.361 0.639 0.500
V2 0.639 0.361 0.500
Co1 0.000 0.000 0.500
S1 0.045 0.381 0.683
S2 0.252 0.252 0.285
S3 0.381 0.045 0.683
S4 0.619 0.955 0.317
S5 0.748 0.748 0.715
S6 0.955 0.619 0.317